! Ta3Ru2Rh, relaxed, DFT PBE; values from VASP
&SYSTEM
  ibrav = 0, nat = 12, ntyp = 3
/
ATOMIC_SPECIES
Ta 180.95 Ta.upf
Ru 101.07 Ru.upf
Rh 102.91 Rh.upf
ATOMIC_POSITIONS angstrom
Ta 0.000 1.767 0.000
Ta 0.000 5.373 0.000
Ta 0.005 1.736 4.250
Ta 0.005 5.405 4.250
Ta 2.124 1.736 2.125
Ta 2.124 5.405 2.125
Ru 0.002 0.000 2.115
Ru 2.122 0.000 0.000
Ru 2.122 3.570 0.000
Ru 2.127 0.000 4.260
Rh 0.002 3.570 2.168
Rh 2.127 3.570 4.207
CELL_PARAMETERS angstrom
4.243 0.000 0.000
0.000 7.141 0.000
-2.115 0.000 6.375
! * formation energy: -0.34 eV per atom
! * excess energy over the best structure of this formula in the dataset: 17.4 meV per atom
! * N(E_F): 1.314 states/eV/atom



! TaRuRh, relaxed, DFT PBE; values from VASP
&SYSTEM
  ibrav = 0, nat = 3, ntyp = 3
/
ATOMIC_SPECIES
Ta 180.95 Ta.upf
Ru 101.07 Ru.upf
Rh 102.91 Rh.upf
ATOMIC_POSITIONS angstrom
Ta 0.000 0.000 0.000
Ru 2.204 1.272 1.631
Rh 0.000 2.544 0.262
CELL_PARAMETERS angstrom
4.407 0.000 0.000
-2.204 3.817 0.000
0.000 0.000 2.775
! * formation energy: -0.17 eV per atom
! * excess energy over the best structure of this formula in the dataset: 184.4 meV per atom
! * N(E_F): 0.742 states/eV/atom